Entry 1:
The following is a DFT calculation (GGA-PBE) of a relaxed structure of MoRh.

```
data_MoRh
_chemical_formula_sum 'Mo6 Rh6'
_cell_length_a 9.0975
_cell_length_b 9.0975
_cell_length_c 2.7152
_cell_angle_alpha 90.00
_cell_angle_beta 90.00
_cell_angle_gamma 120.00
_symmetry_space_group_name_H-M 'P 63/m'
_symmetry_Int_Tables_number 176
_symmetry_space_group_name_Hall '-P 6c'
loop_
_atom_site_label
_atom_site_type_symbol
_atom_site_fract_x
_atom_site_fract_y
_atom_site_fract_z
_atom_site_occupancy
Mo1 Mo 0.1443 0.5222 0.2500 1
Rh1 Rh 0.0511 0.7649 0.2500 1
```

Output
Formation energy from the elements ... 0.25 eV per atom

Entry 2:
The following is a DFT calculation (GGA-PBE) of a relaxed structure of Mo3Rh.

```
data_Mo3Rh
_chemical_formula_sum 'Mo3 Rh1'
_cell_length_a 2.7785
_cell_length_b 2.7785
_cell_length_c 9.2987
_cell_angle_alpha 90.00
_cell_angle_beta 90.00
_cell_angle_gamma 120.00
_symmetry_space_group_name_H-M 'P -6 m 2'
_symmetry_Int_Tables_number 187
_symmetry_space_group_name_Hall 'P -6 2'
loop_
_atom_site_label
_atom_site_type_symbol
_atom_site_fract_x
_atom_site_fract_y
_atom_site_fract_z
_atom_site_occupancy
Mo1 Mo 0.0000 0.0000 0.0000 1
Mo2 Mo 0.6667 0.3333 0.2610 1
Rh1 Rh 0.0000 0.0000 0.5000 1
```

Output
Formation energy from the elements ... 0.14 eV per atom

Which formula does entry 1 have? MoRh

Among the records above, which one has the lowest formation energy from the elements? Mo3Rh

Copy entry 2 word for word.
The following is a DFT calculation (GGA-PBE) of a relaxed structure of Mo3Rh.

```
data_Mo3Rh
_chemical_formula_sum 'Mo3 Rh1'
_cell_length_a 2.7785
_cell_length_b 2.7785
_cell_length_c 9.2987
_cell_angle_alpha 90.00
_cell_angle_beta 90.00
_cell_angle_gamma 120.00
_symmetry_space_group_name_H-M 'P -6 m 2'
_symmetry_Int_Tables_number 187
_symmetry_space_group_name_Hall 'P -6 2'
loop_
_atom_site_label
_atom_site_type_symbol
_atom_site_fract_x
_atom_site_fract_y
_atom_site_fract_z
_atom_site_occupancy
Mo1 Mo 0.0000 0.0000 0.0000 1
Mo2 Mo 0.6667 0.3333 0.2610 1
Rh1 Rh 0.0000 0.0000 0.5000 1
```

Output
Formation energy from the elements ... 0.14 eV per atom

What is the formula in the second record? Mo3Rh